[1]
## BaZn4Au12 (PBE)

Data for a geometry-optimized BaZn4Au12 structure.

Cell and atoms, written as extended XYZ:
```
17
Lattice="7.821 0.000 0.000 -2.607 7.374 0.000 -2.607 -3.687 6.386" Properties=species:S:1:pos:R:3 pbc="T T T"
Zn 3.911 0.000 0.000
Au 2.583 5.388 1.001
Zn 1.304 1.844 3.193
Au 4.218 -1.249 4.165
Zn -1.304 -1.844 3.193
Au 0.024 -1.701 5.385
Au 1.611 0.545 5.385
Au -1.611 4.936 2.221
Au 2.631 -0.126 2.221
Ba 0.000 0.000 0.000
Au 5.191 1.860 1.220
Au -0.996 0.704 3.222
Au 3.603 2.983 3.164
Au 0.996 3.142 1.001
Au -2.583 1.827 5.166
Zn -1.304 3.687 0.000
Au -0.024 3.813 4.165
```

The formation energy is -16 meV per atom. The crystal system is cubic. The total magnetization is 0.0000 μB per atom.

[2]
## TbU2Ga9 (PBE)

Data for a geometry-optimized TbU2Ga9 structure.

Cell and atoms, written as extended XYZ:
```
12
Lattice="4.264 0.000 0.000 0.000 4.264 0.000 0.000 0.000 12.836" Properties=species:S:1:pos:R:3 pbc="T T T"
U 0.000 0.000 8.558
Ga 2.132 0.000 6.418
Ga 0.000 2.132 10.671
Ga 0.000 2.132 2.165
Ga 2.132 2.132 8.540
Tb 0.000 0.000 0.000
U 0.000 0.000 4.279
Ga 2.132 2.132 0.000
Ga 2.132 2.132 4.296
Ga 0.000 2.132 6.418
Ga 2.132 0.000 2.165
Ga 2.132 0.000 10.671
```

The formation energy is -342 meV per atom. The crystal system is tetragonal. The total magnetization is 0.3873 μB per atom.

[3]
## CsSnSbI2 (PBE)

Data for a geometry-optimized CsSnSbI2 structure.

Cell and atoms, written as extended XYZ:
```
5
Lattice="-4.449 -1.351 4.322 4.425 -2.579 3.749 0.903 5.317 2.591" Properties=species:S:1:pos:R:3 pbc="T T T"
Sn 0.000 0.000 0.000
I -2.224 -0.675 2.161
I 2.213 -1.290 1.875
Cs 0.440 0.694 5.331
Sb 0.452 2.658 1.296
```

For the uncorrected formation energy, the calculation gives -0.4144 eV/atom. The crystal system is tetragonal. The total magnetization is 0.3343 μB per atom. The offset from the most stable computed form comes out at 0.000 eV per atom.

[4]
## Ta2BiF (PBE)

Data for a geometry-optimized Ta2BiF structure.

Cell and atoms, written as extended XYZ:
```
8
Lattice="-1.180 4.086 -2.093 -2.977 0.964 3.560 3.645 6.128 4.543" Properties=species:S:1:pos:R:3 pbc="T T T"
Ta -0.480 8.878 4.185
F -0.705 4.809 4.418
Bi 0.000 0.000 0.000
Ta -1.264 3.226 2.802
Bi 0.193 6.370 1.592
Ta -0.031 3.625 0.570
F -2.078 2.525 0.734
Ta 0.752 6.627 4.463
```

For the uncorrected formation energy, the calculation gives 0.3392 eV/atom. The crystal system is tetragonal. The total magnetization is 0.0001 μB per atom. The offset from the most stable computed form comes out at 0.088 eV per atom.

[5]
## BaBe2H (PBE)

Data for a geometry-optimized BaBe2H structure.

Cell and atoms, written as extended XYZ:
```
4
Lattice="-1.780 0.685 4.472 -2.671 3.943 0.975 -4.774 -0.437 0.810" Properties=species:S:1:pos:R:3 pbc="T T T"
Ba -4.612 2.096 3.129
Be -6.919 3.143 4.693
Be -2.306 1.048 1.564
H 0.000 0.000 0.000
```

The crystal system is cubic. The total magnetization is 0.0000 μB per atom. The offset from the most stable computed form comes out at 0.721 eV per atom.

[6]
## Sc2BeW (PBE)

Data for a geometry-optimized Sc2BeW structure.

Cell and atoms, written as extended XYZ:
```
4
Lattice="2.880 0.025 0.000 -0.027 2.880 0.000 0.000 0.000 8.396" Properties=species:S:1:pos:R:3 pbc="T T T"
Be 1.426 1.452 6.141
W 0.000 0.000 4.576
Sc 1.426 1.452 2.360
Sc 0.000 0.000 7.914
```

The formation energy is 180 meV per atom. The crystal system is tetragonal. The total magnetization is 0.0000 μB per atom.